Density functional theory data (SCAN) for a crystal of Cu7Pt5 relaxed with PBEsol.

a b c (Å): 4.5901 4.5953 8.7036
angles (deg): 95.32 94.69 119.88
Element x y z (fractional)
Cu1 0.0000 0.0000 0.0000
Cu2 0.0808 0.4101 0.2453
Cu3 0.1645 0.8287 0.4915
Cu4 0.2509 0.2516 0.7457
Cu5 0.4078 0.0750 0.2462
Cu6 0.5846 0.9194 0.7458
Cu7 0.7541 0.7485 0.2461
Pt1 0.3360 0.6647 0.0017
Pt2 0.4931 0.4932 0.4897
Pt3 0.6655 0.3294 0.0017
Pt4 0.8286 0.1576 0.4901
Pt5 0.9228 0.5955 0.7458


Density functional theory data (SCAN) for a crystal of Cu7Pt5 relaxed with PBEsol.

a b c (Å): 4.5801 5.3328 6.9639
angles (deg): 78.54 76.40 72.79
Element x y z (fractional)
Cu1 0.0000 0.0000 0.0000
Cu2 0.0071 0.1645 0.3274
Cu3 0.4955 0.6711 0.8404
Cu4 0.4980 0.1591 0.8402
Cu5 0.5020 0.8409 0.1598
Cu6 0.5045 0.3289 0.1596
Cu7 0.9929 0.8356 0.6726
Pt1 0.0000 0.5000 0.0000
Pt2 0.0091 0.6740 0.3255
Pt3 0.5000 0.0000 0.5000
Pt4 0.5000 0.5000 0.5000
Pt5 0.9909 0.3260 0.6745


| no. | energy (eV for the cell shown) | polymorph energy (0 for the lowest one) (meV/atom) |
| --- | --- | --- |
| 1 | -458.90 | 32 |
| 2 | -459.00 | 24 |